(1)
Below is a relaxed In2CuS crystal, with properties calculated at the GGA-PBE level.

a = 6.460 Å, b = 6.460 Å, c = 6.977 Å
α = 62.42°, β = 62.42°, γ = 90.00°
Fractional positions:
S: 0.500 0.500 0.000
S: 0.250 0.750 0.500
Cu: 0.000 0.000 0.000
Cu: 0.750 0.250 0.500
In: 0.636 0.125 0.250
In: 0.114 0.625 0.250
In: 0.375 0.364 0.750
In: 0.875 0.886 0.750

## Properties
- energy relative to the elements, uncorrected (eV per atom) = 0.0051
- SG = I-42d (122)
- DOS(E_F) (states/eV/f.u.) = 1.4
- electronic total energy (Ry/atom) = -0.2514

(2)
Below is a relaxed In2CuS crystal, with properties calculated at the GGA-PBE level.

a = 4.944 Å, b = 4.944 Å, c = 4.944 Å
α = 60.00°, β = 60.00°, γ = 60.00°
Fractional positions:
S: 0.000 0.000 0.000
Cu: 0.500 0.500 0.500
In: 0.250 0.250 0.250
In: 0.750 0.750 0.750

## Properties
- energy relative to the elements, uncorrected (eV per atom) = 0.2265
- SG = Fm-3m (225)
- DOS(E_F) (states/eV/f.u.) = 2.7
- electronic total energy (Ry/atom) = -0.2351

(3)
Below is a relaxed In2CuS4 crystal, with properties calculated at the GGA-PBE level.

a = 5.664 Å, b = 5.821 Å, c = 5.821 Å
α = 90.00°, β = 90.00°, γ = 90.00°
Last column: magnetic moment on the atom in μB.
Fractional positions:
In: 0.000 0.500 0.000  -0.01
In: 0.000 0.000 0.500  -0.01
Cu: 0.000 0.000 0.000  0.31
S: 0.255 0.771 0.229  0.12
S: 0.745 0.229 0.229  0.12
S: 0.745 0.771 0.771  0.12
S: 0.255 0.229 0.771  0.12

## Properties
- energy relative to the elements, uncorrected (eV per atom) = -0.2440
- SG = P-42m (111)
- DOS(E_F) (states/eV/f.u.) = 6.8
- electronic total energy (Ry/atom) = -0.2918

(4)
Below is a relaxed In2Cu2S crystal, with properties calculated at the GGA-PBE level.

a = 8.077 Å, b = 8.077 Å, c = 2.851 Å
α = 90.00°, β = 90.00°, γ = 90.00°
Fractional positions:
S: 0.000 0.000 0.000
S: 0.500 0.500 0.000
Cu: 0.103 0.603 0.500
Cu: 0.603 0.897 0.500
Cu: 0.897 0.397 0.500
Cu: 0.397 0.103 0.500
In: 0.305 0.805 0.000
In: 0.805 0.695 0.000
In: 0.695 0.195 0.000
In: 0.195 0.305 0.000

## Properties
- energy relative to the elements, uncorrected (eV per atom) = 0.1407
- SG = P4/mbm (127)
- DOS(E_F) (states/eV/f.u.) = 1.3
- electronic total energy (Ry/atom) = -0.2513

(5)
Below is a relaxed InCu2S crystal, with properties calculated at the GGA-PBE level.

a = 4.577 Å, b = 4.577 Å, c = 4.577 Å
α = 60.00°, β = 60.00°, γ = 60.00°
Fractional positions:
S: 0.000 0.000 0.000
Cu: 0.250 0.250 0.250
Cu: 0.750 0.750 0.750
In: 0.500 0.500 0.500

## Properties
- energy relative to the elements, uncorrected (eV per atom) = 0.3084
- SG = Fm-3m (225)
- DOS(E_F) (states/eV/f.u.) = 1.5
- electronic total energy (Ry/atom) = -0.2540

(6)
Below is a relaxed InCuS2 crystal, with properties calculated at the GGA-PBE level.

a = 3.812 Å, b = 3.812 Å, c = 6.304 Å
α = 90.00°, β = 90.00°, γ = 120.00°
Fractional positions:
S: 0.333 0.667 0.738
S: 0.667 0.333 0.227
Cu: 0.667 0.333 0.580
In: 0.000 0.000 0.012

## Properties
- energy relative to the elements, uncorrected (eV per atom) = -0.3857
- SG = P3m1 (156)
- DOS(E_F) (states/eV/f.u.) = 0.0
- electronic total energy (Ry/atom) = -0.3056

(7)
Below is a relaxed InCuS crystal, with properties calculated at the GGA-PBE level.

a = 3.676 Å, b = 8.613 Å, c = 8.108 Å
α = 89.30°, β = 103.10°, γ = 90.00°
Fractional positions:
In: 0.077 0.323 0.153
In: 0.426 0.155 0.852
In: 0.574 0.845 0.148
In: 0.923 0.677 0.847
S: 0.180 0.644 0.360
S: 0.843 0.954 0.686
S: 0.820 0.356 0.640
S: 0.157 0.046 0.314
Cu: 0.315 0.528 0.631
Cu: 0.723 0.165 0.447
Cu: 0.685 0.472 0.369
Cu: 0.277 0.835 0.553

## Properties
- energy relative to the elements, uncorrected (eV per atom) = -0.1530
- SG = C2/m (12)
- DOS(E_F) (states/eV/f.u.) = 1.3
- electronic total energy (Ry/atom) = -0.2798

(8)
Below is a relaxed InCu2S3 crystal, with properties calculated at the GGA-PBE level.

a = 6.707 Å, b = 6.707 Å, c = 12.155 Å
α = 100.50°, β = 100.50°, γ = 109.86°
Fractional positions:
In: 0.237 0.402 0.657
In: 0.598 0.763 0.343
In: 0.004 0.670 0.157
In: 0.330 0.996 0.843
Cu: 0.079 0.241 0.329
Cu: 0.411 0.589 0.000
Cu: 0.759 0.921 0.671
Cu: 0.500 0.162 0.171
Cu: 0.838 0.500 0.829
Cu: 0.161 0.839 0.500
Cu: 0.915 0.085 0.000
Cu: 0.665 0.335 0.500
S: 0.475 0.393 0.841
S: 0.810 0.707 0.517
S: 0.136 0.068 0.164
S: 0.932 0.864 0.836
S: 0.293 0.190 0.483
S: 0.607 0.525 0.159
S: 0.043 0.440 0.983
S: 0.384 0.802 0.659
S: 0.722 0.155 0.336
S: 0.198 0.616 0.341
S: 0.560 0.957 0.017
S: 0.845 0.278 0.664

## Properties
- energy relative to the elements, uncorrected (eV per atom) = -0.4008
- SG = Fdd2 (43)
- DOS(E_F) (states/eV/f.u.) = 3.1
- electronic total energy (Ry/atom) = -0.3150